Entry 1:
Entry from the Alexandria database: a relaxed structure of Na2MgGaCl (PBE).

Summary:
* space group: No. 123
* uncorrected energy: -10.7 eV per formula unit

a = 5.1153 Å, b = 5.1153 Å, c = 5.3382 Å
α = 90.00°, β = 90.00°, γ = 90.00°
Positions (direct):
Na: 0.0000 0.5000 0.0000
Na: 0.5000 0.0000 0.0000
Mg: 0.0000 0.0000 0.5000
Ga: 0.5000 0.5000 0.5000
Cl: 0.0000 0.0000 0.0000

---

Entry 2:
Entry from the Alexandria database: a relaxed structure of Zn4Ag8Hg (PBE).

Summary:
* space group: No. 139
* formation energy from the elements: 0.3 eV/f.u.

a = 7.0925 Å, b = 7.0925 Å, c = 7.0925 Å
α = 98.25°, β = 98.25°, γ = 135.48°
Positions (direct):
Zn: 0.0000 0.0000 0.5000
Zn: 0.0000 0.5000 0.0000
Zn: 0.5000 0.0000 0.0000
Zn: 0.5000 0.5000 0.5000
Ag: 0.0000 0.2189 0.2189
Ag: 0.0000 0.7811 0.7811
Ag: 0.1551 0.5000 0.6551
Ag: 0.2189 0.0000 0.2189
Ag: 0.5000 0.1551 0.6551
Ag: 0.5000 0.8449 0.3449
Ag: 0.7811 0.0000 0.7811
Ag: 0.8449 0.5000 0.3449
Hg: 0.5000 0.5000 0.0000

---

Entry 3:
Entry from the Alexandria database: a relaxed structure of Ac6As2P3Br (PBE).

Summary:
* space group: No. 12
* uncorrected energy: -69.9 eV per formula unit

a = 10.0452 Å, b = 10.0452 Å, c = 9.0221 Å
α = 103.40°, β = 103.40°, γ = 25.72°
Positions (direct):
Ac: 0.0019 0.0019 0.2275
Ac: 0.3256 0.3256 0.4167
Ac: 0.3336 0.3336 0.9150
Ac: 0.6664 0.6664 0.0850
Ac: 0.6744 0.6744 0.5833
Ac: 0.9981 0.9981 0.7725
As: 0.1642 0.1642 0.8277
As: 0.8358 0.8358 0.1723
P: 0.1645 0.1645 0.3344
P: 0.5000 0.5000 0.0000
P: 0.8355 0.8355 0.6656
Br: 0.5000 0.5000 0.5000

---

Entry 4:
Entry from the Alexandria database: a relaxed structure of Cr3SeS (PBE).

Summary:
* ΔE to the lowest computed polymorph: 236 meV/atom
* space group: No. 221

a = 4.8727 Å, b = 4.8727 Å, c = 4.8727 Å
α = 90.00°, β = 90.00°, γ = 90.00°
Positions (direct):
Cr: 0.0000 0.0000 0.5000
Cr: 0.0000 0.5000 0.0000
Cr: 0.5000 0.0000 0.0000
Se: 0.0000 0.0000 0.0000
S: 0.5000 0.5000 0.5000

---

Entry 5:
Entry from the Alexandria database: a relaxed structure of CsCeSnSe4 (PBE).

Summary:
* space group: No. 11
* uncorrected energy: -32.6 eV per formula unit

a = 7.1435 Å, b = 7.2929 Å, c = 10.0010 Å
α = 90.00°, β = 108.11°, γ = 90.00°
Positions (direct):
Cs: 0.2485 0.2500 0.4426
Cs: 0.7515 0.7500 0.5574
Ce: 0.2749 0.2500 0.9493
Ce: 0.7251 0.7500 0.0507
Sn: 0.2727 0.7500 0.1651
Sn: 0.7273 0.2500 0.8349
Se: 0.0450 0.7500 0.9140
Se: 0.0630 0.7500 0.3268
Se: 0.4809 0.5157 0.8005
Se: 0.4809 0.9843 0.8005
Se: 0.5191 0.0157 0.1995
Se: 0.5191 0.4843 0.1995
Se: 0.9370 0.2500 0.6732
Se: 0.9550 0.2500 0.0860

---

Entry 6:
Entry from the Alexandria database: a relaxed structure of Pu2CuGe (PBE).

Summary:
* space group: No. 122
* formation energy from the elements: 0.3 eV/f.u.

a = 6.2728 Å, b = 6.2728 Å, c = 6.2728 Å
α = 101.38°, β = 101.38°, γ = 127.25°
Positions (direct):
Pu: 0.1141 0.1250 0.4891
Pu: 0.3750 0.8859 0.0109
Pu: 0.6359 0.6250 0.5109
Pu: 0.8750 0.3641 0.9891
Cu: 0.0000 0.0000 0.0000
Cu: 0.7500 0.2500 0.5000
Ge: 0.2500 0.7500 0.5000
Ge: 0.5000 0.5000 0.0000

---

Entry 7:
Entry from the Alexandria database: a relaxed structure of CaSb3O (PBE).

Summary:
* ΔE to the lowest computed polymorph: 0 meV/atom
* space group: No. 221

a = 4.8684 Å, b = 4.8684 Å, c = 4.8684 Å
α = 90.00°, β = 90.00°, γ = 90.00°
Positions (direct):
Ca: 0.0000 0.0000 0.0000
Sb: 0.0000 0.5000 0.5000
Sb: 0.5000 0.0000 0.5000
Sb: 0.5000 0.5000 0.0000
O: 0.5000 0.5000 0.5000

---

Entry 8:
Entry from the Alexandria database: a relaxed structure of Ta3TlAu (PBE).

Summary:
* ΔE to the lowest computed polymorph: 0 meV/atom
* space group: No. 221
* formation energy from the elements: 8.0 eV/f.u.

a = 4.9714 Å, b = 4.9714 Å, c = 4.9714 Å
α = 90.00°, β = 90.00°, γ = 90.00°
Positions (direct):
Ta: 0.0000 0.0000 0.5000
Ta: 0.0000 0.5000 0.0000
Ta: 0.5000 0.0000 0.0000
Tl: 0.5000 0.5000 0.5000
Au: 0.0000 0.0000 0.0000

---

| no. | V (Å³ per atom) |
| --- | --- |
| 1 | 27.94 |
| 2 | 17.81 |
| 3 | 31.98 |
| 4 | 23.14 |
| 5 | 35.37 |
| 6 | 22.00 |
| 7 | 23.08 |
| 8 | 24.57 |